1.
The following is a DFT calculation (PBE-GGA) of a geometry-optimized Mn2Cu2Tc structure.

Computed properties:
V	127.23	Å³ per cell
formation energy from the elements	0.707	eV per atom
theoretical density	8.7	Mg/m³
uncorrected energy	-6.672	eV/atom

a = 3.2602 Å, b = 3.2602 Å, c = 11.9705 Å
α = 90.00°, β = 90.00°, γ = 90.00°
Space group I4/mmm (No. 139)
Unique sites:
Mn1 0.0000 0.5000 0.2500 (multiplicity 4)
Cu1 0.0000 0.0000 0.0987 (multiplicity 4)
Tc1 0.0000 0.0000 0.5000 (multiplicity 2)



2.
The following is a DFT calculation (PBE-GGA) of a geometry-optimized MnCuTc2 structure.

Computed properties:
V	220.69	Å³ per cell
E above lowest polymorph	91.3	meV per atom
formation energy from the elements	0.233	eV per atom
theoretical density	9.5	Mg/m³
uncorrected energy	-8.266	eV/atom

a = 6.0431 Å, b = 6.0431 Å, c = 6.0431 Å
α = 90.00°, β = 90.00°, γ = 90.00°
Space group F-43m (No. 216)
Unique sites:
Mn1 0.0000 0.0000 0.0000 (multiplicity 4)
Cu1 0.2500 0.2500 0.7500 (multiplicity 4)
Tc1 0.0000 0.0000 0.5000 (multiplicity 4)
Tc2 0.2500 0.2500 0.2500 (multiplicity 4)



3.
The following is a DFT calculation (PBE-GGA) of a geometry-optimized MnCu2Tc structure.

Computed properties:
V	101.81	Å³ per cell
E above lowest polymorph	80.1	meV per atom
formation energy from the elements	0.240	eV per atom
theoretical density	9.1	Mg/m³
uncorrected energy	-6.692	eV/atom

a = 3.5623 Å, b = 3.5623 Å, c = 8.0230 Å
α = 90.00°, β = 90.00°, γ = 90.00°
Space group I4/mmm (No. 139)
Unique sites:
Mn1 0.0000 0.0000 0.0000 (multiplicity 2)
Cu1 0.0000 0.5000 0.2500 (multiplicity 4)
Tc1 0.0000 0.0000 0.5000 (multiplicity 2)



- The highest theoretical density belongs to which entry?
  MnCuTc2